[1]
This record from the Alexandria database describes a geometry-optimized Ac8Si3OsBr4 structure. The functional is PBE-GGA.

It has space group R-3m (No. 166, hexagonal axes), with a = 9.0683 Å, b = 9.0683 Å, c = 23.3225 Å, α = 90.00°, β = 90.00° and γ = 120.00°. The inequivalent atoms are Ac at (0.0000, 0.0000, 0.2385), Ac at (0.0146, 0.5073, 0.2350), Si at (0.0000, 0.5000, 0.5000), Os at (0.0000, 0.0000, 0.5000), Br at (0.0000, 0.0000, 0.0000) and Br at (0.0000, 0.5000, 0.0000).

The calculated density comes out at 7.23 Mg/m³. The final energy comes out at -5.14 eV per atom. The calculation puts the density of states at the Fermi level at 38.35 states/eV/cell. The raw formation energy is -15.26 eV/f.u.

***

[2]
This record from the Alexandria database describes a geometry-optimized Mn2CdGeP structure. The functional is PBE-GGA.

It has space group P4/mmm (No. 123), with a = 4.490 Å, b = 4.490 Å, c = 5.001 Å, α = 90.00°, β = 90.00° and γ = 90.00°. The inequivalent atoms are Mn at (0.000, 0.500, 0.000), Cd at (0.000, 0.000, 0.500), Ge at (0.500, 0.500, 0.500) and P at (0.000, 0.000, 0.000).

The calculated density comes out at 5.37 Mg/m³. The final energy comes out at -5.43 eV per atom. The calculation puts the density of states at the Fermi level at 3.75 states/eV/cell.

***

[3]
This record from the Alexandria database describes a geometry-optimized Nd4AgHg structure. The functional is PBE-GGA.

It has space group P4/mmm (No. 123), with a = 3.762 Å, b = 3.762 Å, c = 12.822 Å, α = 90.00°, β = 90.00° and γ = 90.00°. The inequivalent atoms are Nd at (0.000, 0.000, 0.146), Nd at (0.500, 0.500, 0.345), Ag at (0.500, 0.500, 0.000) and Hg at (0.000, 0.000, 0.500).

The calculated density comes out at 8.10 Mg/m³. The final energy comes out at -3.93 eV per atom. The calculation puts the density of states at the Fermi level at 6.69 states/eV/cell.

***

[4]
This record from the Alexandria database describes a geometry-optimized Al2CoSe structure. The functional is PBE-GGA.

It has space group C2/m (No. 12), with a = 7.899 Å, b = 3.296 Å, c = 5.155 Å, α = 90.00°, β = 106.74° and γ = 90.00°. The inequivalent atoms are Al at (0.238, 0.000, 0.195), Co at (0.000, 0.500, 0.000) and Se at (0.000, 0.000, 0.500).

The calculated density comes out at 4.96 Mg/m³. The final energy comes out at -4.50 eV per atom. The calculation puts the density of states at the Fermi level at 3.96 states/eV/cell. The raw formation energy is 0.06 eV/f.u.

***

[5]
This record from the Alexandria database describes a geometry-optimized MnTcTeI2 structure. The functional is PBE-GGA.

It has space group P4/mmm (No. 123), with a = 5.522 Å, b = 5.522 Å, c = 5.299 Å, α = 90.00°, β = 90.00° and γ = 90.00°. The inequivalent atoms are Mn at (0.000, 0.000, 0.000), Tc at (0.500, 0.500, 0.500), Te at (0.500, 0.500, 0.000) and I at (0.000, 0.500, 0.500).

The calculated density comes out at 5.49 Mg/m³. The final energy comes out at -4.44 eV per atom. The calculation puts the density of states at the Fermi level at 3.79 states/eV/cell. The raw formation energy is 3.60 eV/f.u.

***

[6]
This record from the Alexandria database describes a geometry-optimized Y11Er9Sc4 structure. The functional is PBE-GGA.

It has space group Cmmm (No. 65), with a = 16.448 Å, b = 24.863 Å, c = 3.593 Å, α = 90.00°, β = 90.00° and γ = 90.00°. The inequivalent atoms are Y at (0.000, 0.000, 0.000), Y at (0.000, 0.159, 0.000), Y at (0.000, 0.370, 0.000), Y at (0.202, 0.500, 0.000), Y at (0.227, 0.180, 0.000), Er at (0.000, 0.500, 0.500), Er at (0.102, 0.269, 0.500), Er at (0.146, 0.072, 0.500) and Sc at (0.155, 0.398, 0.500).

The calculated density comes out at 6.02 Mg/m³. The final energy comes out at -5.69 eV per atom. The calculation puts the density of states at the Fermi level at 69.58 states/eV/cell.

***

[7]
This record from the Alexandria database describes a geometry-optimized CuTc2Cl structure. The functional is PBE-GGA.

It has space group Fm-3m (No. 225), with a = 6.034 Å, b = 6.034 Å, c = 6.034 Å, α = 90.00°, β = 90.00° and γ = 90.00°. The inequivalent atoms are Cu at (0.000, 0.000, 0.000), Tc at (0.250, 0.250, 0.250) and Cl at (0.000, 0.000, 0.500).

The calculated density comes out at 8.92 Mg/m³. The final energy comes out at -5.76 eV per atom. The calculation puts the density of states at the Fermi level at 20.88 states/eV/cell. The raw formation energy is 3.65 eV/f.u.

***

[8]
This record from the Alexandria database describes a geometry-optimized Hf4Zr3In structure. The functional is PBE-GGA.

It has space group Immm (No. 71), with a = 4.432 Å, b = 4.466 Å, c = 18.224 Å, α = 90.00°, β = 90.00° and γ = 90.00°. The inequivalent atoms are Hf at (0.000, 0.000, 0.128), Hf at (0.000, 0.500, 0.249), Zr at (0.000, 0.000, 0.373), Zr at (0.000, 0.500, 0.500) and In at (0.000, 0.500, 0.000).

The calculated density comes out at 10.15 Mg/m³. The final energy comes out at -8.61 eV per atom. The calculation puts the density of states at the Fermi level at 16.38 states/eV/cell.

***

[9]
This record from the Alexandria database describes a geometry-optimized Na3InBr6 structure. The functional is PBE-GGA.

It has space group P2_1/c (No. 14), with a = 7.216 Å, b = 7.702 Å, c = 12.862 Å, α = 90.00°, β = 123.53° and γ = 90.00°. The inequivalent atoms are Na at (0.000, 0.000, 0.000), Na at (0.205, 0.090, 0.740), In at (0.500, 0.000, 0.500), Br at (0.128, 0.179, 0.434), Br at (0.253, 0.701, 0.421) and Br at (0.411, 0.058, 0.267).

The calculated density comes out at 3.70 Mg/m³. The final energy comes out at -2.91 eV per atom. The calculation puts the density of states at the Fermi level at 0.00 states/eV/cell. The raw formation energy is -12.40 eV/f.u.

***

[10]
This record from the Alexandria database describes a geometry-optimized Li7InCu4 structure. The functional is PBE-GGA.

It has space group C2/m (No. 12), with a = 11.992 Å, b = 4.787 Å, c = 7.709 Å, α = 90.00°, β = 120.13° and γ = 90.00°. The inequivalent atoms are Li at (0.000, 0.000, 0.000), Li at (0.079, 0.500, 0.422), Li at (0.204, 0.500, 0.881), Li at (0.239, 0.000, 0.693), In at (0.000, 0.500, 0.000), Cu at (0.029, 0.000, 0.679) and Cu at (0.179, 0.000, 0.341).

The calculated density comes out at 3.62 Mg/m³. The final energy comes out at -2.65 eV per atom. The calculation puts the density of states at the Fermi level at 10.02 states/eV/cell.

***

[11]
This record from the Alexandria database describes a geometry-optimized PuZnH structure. The functional is PBE-GGA.

It has space group P3m1 (No. 156), with a = 2.7672 Å, b = 2.7672 Å, c = 5.6516 Å, α = 90.00°, β = 90.00° and γ = 120.00°. The inequivalent atoms are Pu at (0.0000, 0.0000, 0.0000), Zn at (0.3333, 0.6667, 0.5266) and H at (0.6667, 0.3333, 0.2612).

The calculated density comes out at 13.75 Mg/m³. The final energy comes out at -6.15 eV per atom. The calculation puts the density of states at the Fermi level at 3.36 states/eV/cell.

***

[12]
This record from the Alexandria database describes a geometry-optimized NaLi2F2 structure. The functional is PBE-GGA.

It has space group I4/mmm (No. 139), with a = 3.716 Å, b = 3.716 Å, c = 12.266 Å, α = 90.00°, β = 90.00° and γ = 90.00°. The inequivalent atoms are Na at (0.000, 0.000, 0.000), Li at (0.000, 0.500, 0.250) and F at (0.000, 0.000, 0.204).

The calculated density comes out at 1.47 Mg/m³. The final energy comes out at -4.01 eV per atom. The calculation puts the density of states at the Fermi level at 1.35 states/eV/cell. The raw formation energy is -11.17 eV/f.u.

***

[13]
This record from the Alexandria database describes a geometry-optimized Nd6SnBi structure. The functional is PBE-GGA.

It has space group P4/mmm (No. 123), with a = 4.980 Å, b = 4.980 Å, c = 9.978 Å, α = 90.00°, β = 90.00° and γ = 90.00°. The inequivalent atoms are Nd at (0.000, 0.000, 0.000), Nd at (0.000, 0.000, 0.500), Nd at (0.000, 0.500, 0.246), Sn at (0.500, 0.500, 0.000) and Bi at (0.500, 0.500, 0.500).

The calculated density comes out at 8.01 Mg/m³. The final energy comes out at -5.00 eV per atom. The calculation puts the density of states at the Fermi level at 9.53 states/eV/cell.

***

[14]
This record from the Alexandria database describes a geometry-optimized Tb2Ce2Si4Rh structure. The functional is PBE-GGA.

It has space group I4/mmm (No. 139), with a = 7.081 Å, b = 7.081 Å, c = 8.002 Å, α = 90.00°, β = 90.00° and γ = 90.00°. The inequivalent atoms are Tb at (0.000, 0.500, 0.250), Ce at (0.000, 0.000, 0.171), Si at (0.241, 0.241, 0.500) and Rh at (0.000, 0.000, 0.500).

The calculated density comes out at 6.73 Mg/m³. The final energy comes out at -6.00 eV per atom. The calculation puts the density of states at the Fermi level at 14.99 states/eV/cell. The raw formation energy is -3.86 eV/f.u.

***

[15]
This record from the Alexandria database describes a geometry-optimized SrSmScO4 structure. The functional is PBE-GGA.

It has space group Cmc2_1 (No. 36), with a = 5.692 Å, b = 12.296 Å, c = 5.872 Å, α = 90.00°, β = 90.00° and γ = 90.00°. The inequivalent atoms are Sr at (0.000, 0.105, 0.000), Sm at (0.000, 0.395, 0.980), Sc at (0.000, 0.246, 0.484), O at (0.000, 0.084, 0.417), O at (0.000, 0.432, 0.593) and O at (0.240, 0.279, 0.224).

The calculated density comes out at 5.61 Mg/m³. The final energy comes out at -7.88 eV per atom. The calculation puts the density of states at the Fermi level at 0.00 states/eV/cell. The raw formation energy is -22.61 eV/f.u.

***

[16]
This record from the Alexandria database describes a geometry-optimized Na3NbO4 structure. The functional is PBE-GGA.

It has space group P-43m (No. 215), with a = 5.094 Å, b = 5.094 Å, c = 5.094 Å, α = 90.00°, β = 90.00° and γ = 90.00°. The inequivalent atoms are Na at (0.000, 0.000, 0.500), Nb at (0.500, 0.500, 0.500) and O at (0.286, 0.286, 0.714).

The calculated density comes out at 2.84 Mg/m³. The final energy comes out at -6.38 eV per atom. The calculation puts the density of states at the Fermi level at 0.00 states/eV/cell. The raw formation energy is -17.15 eV/f.u.

***

[17]
This record from the Alexandria database describes a geometry-optimized Li3Er2BiTe6 structure. The functional is PBE-GGA.

It has space group C2/m (No. 12), with a = 7.545 Å, b = 13.083 Å, c = 7.494 Å, α = 90.00°, β = 109.67° and γ = 90.00°. The inequivalent atoms are Li at (0.000, 0.000, 0.000), Li at (0.000, 0.342, 0.000), Er at (0.000, 0.168, 0.500), Bi at (0.000, 0.500, 0.500), Te at (0.244, 0.170, 0.243) and Te at (0.245, 0.000, 0.755).

The calculated density comes out at 6.34 Mg/m³. The final energy comes out at -4.15 eV per atom. The calculation puts the density of states at the Fermi level at 0.00 states/eV/cell. The raw formation energy is -12.25 eV/f.u.

***

[18]
This record from the Alexandria database describes a geometry-optimized PmMnSi structure. The functional is PBE-GGA.

It has space group P-6m2 (No. 187), with a = 4.2851 Å, b = 4.2851 Å, c = 3.9867 Å, α = 90.00°, β = 90.00° and γ = 120.00°. The inequivalent atoms are Pm at (0.0000, 0.0000, 0.0000), Mn at (0.3333, 0.6667, 0.5000) and Si at (0.6667, 0.3333, 0.5000).

The calculated density comes out at 5.97 Mg/m³. The final energy comes out at -6.79 eV per atom. The calculation puts the density of states at the Fermi level at 3.11 states/eV/cell. The raw formation energy is -1.02 eV/f.u.

***

[19]
This record from the Alexandria database describes a geometry-optimized LiMg2CoC structure. The functional is PBE-GGA.

It has space group P4/mmm (No. 123), with a = 4.444 Å, b = 4.444 Å, c = 3.644 Å, α = 90.00°, β = 90.00° and γ = 90.00°. The inequivalent atoms are Li at (0.000, 0.000, 0.000), Mg at (0.000, 0.500, 0.500), Co at (0.500, 0.500, 0.000) and C at (0.500, 0.500, 0.500).

The calculated density comes out at 2.92 Mg/m³. The final energy comes out at -4.21 eV per atom. The calculation puts the density of states at the Fermi level at 1.48 states/eV/cell.

***

[20]
This record from the Alexandria database describes a geometry-optimized ZrBrF4 structure. The functional is PBE-GGA.

It has space group C2/m (No. 12), with a = 15.521 Å, b = 5.239 Å, c = 7.050 Å, α = 90.00°, β = 106.51° and γ = 90.00°. The inequivalent atoms are Zr at (0.084, 0.000, 0.371), Br at (0.242, 0.500, 0.952), F at (0.000, 0.230, 0.500), F at (0.077, 0.264, 0.180) and F at (0.203, 0.000, 0.555).

The calculated density comes out at 2.99 Mg/m³. The final energy comes out at -5.78 eV per atom. The raw formation energy is -16.97 eV/f.u.

***

[21]
This record from the Alexandria database describes a geometry-optimized Th2Tl3Cd structure. The functional is PBE-GGA.

It has space group Pmm2 (No. 25), with a = 3.602 Å, b = 5.154 Å, c = 9.003 Å, α = 90.00°, β = 90.00° and γ = 90.00°. The inequivalent atoms are Th at (0.000, 0.000, 0.000), Th at (0.000, 0.500, 0.498), Tl at (0.500, 0.000, 0.657), Tl at (0.500, 0.500, 0.174), Tl at (0.500, 0.500, 0.835) and Cd at (0.500, 0.000, 0.329).

The calculated density comes out at 11.82 Mg/m³. The final energy comes out at -3.88 eV per atom. The calculation puts the density of states at the Fermi level at 2.77 states/eV/cell.

***

[22]
This record from the Alexandria database describes a geometry-optimized Ba3LaY2Te6 structure. The functional is PBE-GGA.

It has space group C2/m (No. 12), with a = 8.031 Å, b = 13.894 Å, c = 8.299 Å, α = 90.00°, β = 108.84° and γ = 90.00°. The inequivalent atoms are Ba at (0.000, 0.000, 0.000), Ba at (0.000, 0.337, 0.000), La at (0.000, 0.500, 0.500), Y at (0.000, 0.168, 0.500), Te at (0.229, 0.000, 0.717) and Te at (0.245, 0.328, 0.721).

The calculated density comes out at 5.66 Mg/m³. The final energy comes out at -5.11 eV per atom. The calculation puts the density of states at the Fermi level at 11.59 states/eV/cell. The raw formation energy is -18.88 eV/f.u.

***

[23]
This record from the Alexandria database describes a geometry-optimized BaAs3Se structure. The functional is PBE-GGA.

It has space group Pm-3m (No. 221), with a = 5.190 Å, b = 5.190 Å, c = 5.190 Å, α = 90.00°, β = 90.00° and γ = 90.00°. The inequivalent atoms are Ba at (0.000, 0.000, 0.000), As at (0.000, 0.500, 0.500) and Se at (0.500, 0.500, 0.500).

The calculated density comes out at 5.24 Mg/m³. The final energy comes out at -3.88 eV per atom. The calculation puts the density of states at the Fermi level at 5.76 states/eV/cell. The raw formation energy is -0.04 eV/f.u.